1.
Here is LiHfHgPt after structural relaxation from Alexandria. Energies are from PBE.

The structure belongs to space group F-43m (No. 216); the cell edges are 6.5811, 6.5811 and 6.5811 Å and the angles 90.00°, 90.00° and 90.00°. Symmetry generates all atoms from Li at (0.0000, 0.0000, 0.0000), Hf at (0.0000, 0.0000, 0.5000), Hg at (0.2500, 0.2500, 0.7500) and Pt at (0.2500, 0.2500, 0.2500).

The formation energy is -0.495 eV/atom.

***

2.
Here is Al3TlRh after structural relaxation from Alexandria. Energies are from PBE.

The structure belongs to space group Pm-3m (No. 221); the cell edges are 4.7856, 4.7856 and 4.7856 Å and the angles 90.00°, 90.00° and 90.00°. Symmetry generates all atoms from Al at (0.0000, 0.0000, 0.5000), Tl at (0.5000, 0.5000, 0.5000) and Rh at (0.0000, 0.0000, 0.0000).

The formation energy is -0.191 eV/atom.

***

3.
Here is AcInSeO2 after structural relaxation from Alexandria. Energies are from PBE.

The structure belongs to space group P2_1/m (No. 11); the cell edges are 6.8429, 4.3392 and 7.9492 Å and the angles 90.00°, 93.59° and 90.00°. Symmetry generates all atoms from Ac at (0.2163, 0.2500, 0.1190), In at (0.1037, 0.2500, 0.6408), Se at (0.4539, 0.2500, 0.7683), O at (0.0146, 0.2500, 0.3803) and O at (0.0438, 0.7500, 0.1242).

The value obtained for the raw formation energy is -2.10 eV/atom.

***

4.
Here is Nb3TeS after structural relaxation from Alexandria. Energies are from PBE.

The structure belongs to space group Pm-3m (No. 221); the cell edges are 5.0555, 5.0555 and 5.0555 Å and the angles 90.00°, 90.00° and 90.00°. Symmetry generates all atoms from Nb at (0.0000, 0.0000, 0.5000), Te at (0.0000, 0.0000, 0.0000) and S at (0.5000, 0.5000, 0.5000).

The value obtained for the raw formation energy is 1.59 eV/atom.

***

5.
Here is Ce3TlTe4 after structural relaxation from Alexandria. Energies are from PBE.

The structure belongs to space group Pm-3m (No. 221); the cell edges are 6.4545, 6.4545 and 6.4545 Å and the angles 90.00°, 90.00° and 90.00°. Symmetry generates all atoms from Ce at (0.0000, 0.0000, 0.5000), Tl at (0.5000, 0.5000, 0.5000), Te at (0.0000, 0.0000, 0.0000) and Te at (0.0000, 0.5000, 0.5000).

The value obtained for the raw formation energy is -1.13 eV/atom.

***

6.
Here is ScCr2As2 after structural relaxation from Alexandria. Energies are from PBE.

The structure belongs to space group P4/mbm (No. 127); the cell edges are 7.0668, 7.0668 and 3.1648 Å and the angles 90.00°, 90.00° and 90.00°. Symmetry generates all atoms from Sc at (0.0000, 0.0000, 0.0000), Cr at (0.1369, 0.3631, 0.5000) and As at (0.1503, 0.6503, 0.0000).

The formation energy is -0.242 eV/atom.

***

| no. | total DFT energy (no corrections) (eV/cell) |
| --- | --- |
| 1 | -80.8 |
| 2 | -21.9 |
| 3 | -61.5 |
| 4 | -29.5 |
| 5 | -41.8 |
| 6 | -72.2 |